No. 1
VASP calculation (GGA-PBE) on a geometry-optimized LiPaTe2 structure.

**E_form (uncorrected)**: -0.7838 eV/atom
**Energy above the lowest structure with this stoichiometry**: 89 meV per atom
**Electronic total energy**: -20.828 eV per cell

Cell lengths 3.7552, 3.7552, 7.5315 Å; angles 90.00, 90.00, 90.00 degrees
Positions (direct):
Li 0.0000 0.0000 0.0000
Pa 0.0000 0.0000 0.5000
Te 0.5000 0.5000 0.2607
Te 0.5000 0.5000 0.7393

No. 2
VASP calculation (GGA-PBE) on a geometry-optimized Ba2NiW2 structure.

**Energy of formation**: 1.619 eV per atom
**Energy above the lowest structure with this stoichiometry**: 755 meV per atom
**Electronic total energy**: -54.879 eV per cell

Cell lengths 9.7213, 9.7213, 3.1733 Å; angles 90.00, 90.00, 90.00 degrees
Positions (direct):
Ba 0.2078 0.2922 0.0000
Ba 0.2922 0.7922 0.0000
Ba 0.7078 0.2078 0.0000
Ba 0.7922 0.7078 0.0000
Ni 0.0000 0.0000 0.0000
Ni 0.5000 0.5000 0.0000
W 0.0811 0.5811 0.5000
W 0.4189 0.0811 0.5000
W 0.5811 0.9189 0.5000
W 0.9189 0.4189 0.5000